(1)
# La2ScP PBE-GGA relaxed
# - Calculated total energy: -6.00 eV per atom
# - Volume: 108.8 Å³ per cell
# - Space-group type: No. 8
data_La2ScP
_symmetry_space_group_name_H-M 'P 1'
_symmetry_Int_Tables_number 1
_cell_length_a 6.4315
_cell_length_b 6.4315
_cell_length_c 5.2220
_cell_angle_alpha 66.99
_cell_angle_beta 66.99
_cell_angle_gamma 33.50
loop_
_symmetry_equiv_pos_as_xyz
'x,y,z'
loop_
_atom_site_label
_atom_site_fract_x
_atom_site_fract_y
_atom_site_fract_z
La1 0.9921 0.9921 0.0195
La2 0.8030 0.8030 0.6746
Sc1 0.1863 0.1863 0.3026
P1 0.5186 0.5186 0.5032


(2)
# Ac3Cd2Cu4 PBE-GGA relaxed
# - Calculated total energy: -3.58 eV per atom
# - Volume: 225.7 Å³ per cell
# - Space-group type: No. 12
data_Ac3Cd2Cu4
_symmetry_space_group_name_H-M 'P 1'
_symmetry_Int_Tables_number 1
_cell_length_a 4.5464
_cell_length_b 6.3255
_cell_length_c 9.0820
_cell_angle_alpha 110.65
_cell_angle_beta 90.00
_cell_angle_gamma 111.06
loop_
_symmetry_equiv_pos_as_xyz
'x,y,z'
loop_
_atom_site_label
_atom_site_fract_x
_atom_site_fract_y
_atom_site_fract_z
Ac1 0.6402 0.2804 0.6929
Ac2 0.0000 0.0000 0.0000
Ac3 0.3598 0.7196 0.3071
Cd1 0.6524 0.3048 0.3172
Cd2 0.3476 0.6952 0.6828
Cu1 0.7281 0.4562 0.0554
Cu2 0.2719 0.5438 0.9446
Cu3 0.9260 0.8520 0.5798
Cu4 0.0740 0.1480 0.4202


(3)
# Tb6Nd5Ho2 PBE-GGA relaxed
# - Calculated total energy: -4.58 eV per atom
# - Volume: 872.5 Å³ per cell
# - Space-group type: No. 55
data_Tb6Nd5Ho2
_symmetry_space_group_name_H-M 'P 1'
_symmetry_Int_Tables_number 1
_cell_length_a 3.6118
_cell_length_b 11.6967
_cell_length_c 20.6535
_cell_angle_alpha 90.00
_cell_angle_beta 90.00
_cell_angle_gamma 90.00
loop_
_symmetry_equiv_pos_as_xyz
'x,y,z'
loop_
_atom_site_label
_atom_site_fract_x
_atom_site_fract_y
_atom_site_fract_z
Tb1 0.0000 0.0819 0.3684
Tb2 0.0000 0.9181 0.6316
Tb3 0.0000 0.5819 0.1316
Tb4 0.0000 0.4181 0.8684
Tb5 0.5000 0.3261 0.1386
Tb6 0.5000 0.6739 0.8614
Tb7 0.5000 0.8261 0.3614
Tb8 0.5000 0.1739 0.6386
Tb9 0.0000 0.5621 0.4188
Tb10 0.0000 0.4379 0.5812
Tb11 0.0000 0.0621 0.0812
Tb12 0.0000 0.9379 0.9188
Nd1 0.5000 0.3020 0.4487
Nd2 0.5000 0.6980 0.5513
Nd3 0.5000 0.8020 0.0513
Nd4 0.5000 0.1980 0.9487
Nd5 0.5000 0.5853 0.2729
Nd6 0.5000 0.4147 0.7271
Nd7 0.5000 0.0853 0.2271
Nd8 0.5000 0.9147 0.7729
Nd9 0.5000 0.5000 0.0000
Nd10 0.5000 0.0000 0.5000
Ho1 0.0000 0.3297 0.2895
Ho2 0.0000 0.6703 0.7105
Ho3 0.0000 0.8297 0.2105
Ho4 0.0000 0.1703 0.7895


(4)
# BeAl2Tl PBE-GGA relaxed
# - Volume: 74.2 Å³ per cell
# - Space-group type: No. 166
# - Distance to the lowest polymorph of the same formula: 80 meV/atom
data_BeAl2Tl
_symmetry_space_group_name_H-M 'P 1'
_symmetry_Int_Tables_number 1
_cell_length_a 8.2671
_cell_length_b 8.2671
_cell_length_c 8.2671
_cell_angle_alpha 22.76
_cell_angle_beta 22.76
_cell_angle_gamma 22.76
loop_
_symmetry_equiv_pos_as_xyz
'x,y,z'
loop_
_atom_site_label
_atom_site_fract_x
_atom_site_fract_y
_atom_site_fract_z
Be1 0.2500 0.2500 0.2500
Tl1 0.7500 0.7500 0.7500
Al1 0.9827 0.9827 0.9827
Al2 0.5173 0.5173 0.5173


(5)
# MoPW3 PBE-GGA relaxed
# - Volume: 106.6 Å³ per cell
# - Space-group type: No. 221
# - Distance to the lowest polymorph of the same formula: 1424 meV/atom
data_MoPW3
_symmetry_space_group_name_H-M 'P 1'
_symmetry_Int_Tables_number 1
_cell_length_a 4.7417
_cell_length_b 4.7417
_cell_length_c 4.7417
_cell_angle_alpha 90.00
_cell_angle_beta 90.00
_cell_angle_gamma 90.00
loop_
_symmetry_equiv_pos_as_xyz
'x,y,z'
loop_
_atom_site_label
_atom_site_fract_x
_atom_site_fract_y
_atom_site_fract_z
P1 0.5000 0.5000 0.5000
Mo1 0.0000 0.0000 0.0000
W1 0.0000 0.5000 0.0000
W2 0.0000 0.0000 0.5000
W3 0.5000 0.0000 0.0000


(6)
# VReGe2 PBE-GGA relaxed
# - Volume: 62.9 Å³ per cell
# - Space-group type: No. 166
# - Distance to the lowest polymorph of the same formula: 211 meV/atom
data_VReGe2
_symmetry_space_group_name_H-M 'P 1'
_symmetry_Int_Tables_number 1
_cell_length_a 2.7881
_cell_length_b 2.7881
_cell_length_c 9.4767
_cell_angle_alpha 81.54
_cell_angle_beta 81.54
_cell_angle_gamma 60.00
loop_
_symmetry_equiv_pos_as_xyz
'x,y,z'
loop_
_atom_site_label
_atom_site_fract_x
_atom_site_fract_y
_atom_site_fract_z
Re1 0.0000 0.0000 0.0000
Ge1 0.0926 0.0926 0.7222
Ge2 0.9074 0.9074 0.2778
V1 0.5000 0.5000 0.5000


(7)
# GaTeH PBE-GGA relaxed
# - Volume: 177.5 Å³ per cell
# - Space-group type: No. 1
# - Distance to the lowest polymorph of the same formula: 36 meV/atom
data_GaTeH
_symmetry_space_group_name_H-M 'P 1'
_symmetry_Int_Tables_number 1
_cell_length_a 4.1222
_cell_length_b 5.5165
_cell_length_c 8.6838
_cell_angle_alpha 80.09
_cell_angle_beta 76.62
_cell_angle_gamma 68.17
loop_
_symmetry_equiv_pos_as_xyz
'x,y,z'
loop_
_atom_site_label
_atom_site_fract_x
_atom_site_fract_y
_atom_site_fract_z
Ga1 0.7140 0.6463 0.5306
Ga2 0.5099 0.1240 0.4589
Te1 0.2341 0.4336 0.7062
Te2 0.9895 0.3372 0.2833
H1 0.7393 0.0192 0.9861
H2 0.8512 0.8780 0.0034


(8)
# Cs2Co3Se4 PBE-GGA relaxed
# - Calculated total energy: -4.67 eV per atom
# - Volume: 506.4 Å³ per cell
# - Space-group type: No. 70
data_Cs2Co3Se4
_symmetry_space_group_name_H-M 'P 1'
_symmetry_Int_Tables_number 1
_cell_length_a 6.0361
_cell_length_b 6.0636
_cell_length_c 16.2345
_cell_angle_alpha 84.69
_cell_angle_beta 79.29
_cell_angle_gamma 60.15
loop_
_symmetry_equiv_pos_as_xyz
'x,y,z'
loop_
_atom_site_label
_atom_site_fract_x
_atom_site_fract_y
_atom_site_fract_z
Cs1 0.1724 0.5000 0.6553
Cs2 0.3276 0.5000 0.3447
Cs3 0.5776 0.0000 0.8447
Cs4 0.4224 0.0000 0.1553
Co1 0.2498 0.0000 0.5004
Co2 0.9998 0.5000 0.0004
Co3 0.5002 0.5000 0.9996
Co4 0.0000 0.0000 0.0000
Co5 0.7500 0.5000 0.5000
Co6 0.7502 0.0000 0.4996
Se1 0.8840 0.3330 0.9021
Se2 0.2140 0.6670 0.9021
Se3 0.7831 0.3330 0.0979
Se4 0.6310 0.8330 0.4021
Se5 0.8660 0.1670 0.5979
Se6 0.1190 0.6670 0.0979
Se7 0.9669 0.1670 0.4021
Se8 0.5360 0.8330 0.5979


(9)
# YLuAlFe PBE-GGA relaxed
# - Calculated total energy: -5.90 eV per atom
# - Volume: 84.4 Å³ per cell
# - Space-group type: No. 216
data_YLuAlFe
_symmetry_space_group_name_H-M 'P 1'
_symmetry_Int_Tables_number 1
_cell_length_a 4.9231
_cell_length_b 4.9231
_cell_length_c 4.9231
_cell_angle_alpha 60.00
_cell_angle_beta 60.00
_cell_angle_gamma 60.00
loop_
_symmetry_equiv_pos_as_xyz
'x,y,z'
loop_
_atom_site_label
_atom_site_fract_x
_atom_site_fract_y
_atom_site_fract_z
Y1 0.7500 0.7500 0.7500
Lu1 0.2500 0.2500 0.2500
Fe1 0.5000 0.5000 0.5000
Al1 0.0000 0.0000 0.0000


(10)
# Ba2InHg PBE-GGA relaxed
# - Calculated total energy: -2.03 eV per atom
# - Volume: 145.9 Å³ per cell
# - Space-group type: No. 119
data_Ba2InHg
_symmetry_space_group_name_H-M 'P 1'
_symmetry_Int_Tables_number 1
_cell_length_a 6.5289
_cell_length_b 6.5289
_cell_length_c 6.5289
_cell_angle_alpha 133.06
_cell_angle_beta 133.06
_cell_angle_gamma 68.57
loop_
_symmetry_equiv_pos_as_xyz
'x,y,z'
loop_
_atom_site_label
_atom_site_fract_x
_atom_site_fract_y
_atom_site_fract_z
Ba1 0.0000 0.0000 0.0000
Ba2 0.2500 0.7500 0.5000
Hg1 0.5000 0.5000 0.0000
In1 0.7500 0.2500 0.5000


(11)
# MgZrCdIn PBE-GGA relaxed
# - Calculated total energy: -3.69 eV per atom
# - Volume: 86.1 Å³ per cell
# - Space-group type: No. 47
data_MgZrCdIn
_symmetry_space_group_name_H-M 'P 1'
_symmetry_Int_Tables_number 1
_cell_length_a 4.3053
_cell_length_b 4.3875
_cell_length_c 4.5573
_cell_angle_alpha 90.00
_cell_angle_beta 90.00
_cell_angle_gamma 90.00
loop_
_symmetry_equiv_pos_as_xyz
'x,y,z'
loop_
_atom_site_label
_atom_site_fract_x
_atom_site_fract_y
_atom_site_fract_z
Mg1 0.0000 0.0000 0.0000
Zr1 0.0000 0.5000 0.5000
Cd1 0.5000 0.5000 0.0000
In1 0.5000 0.0000 0.5000